(1)
Density functional theory data (PBE) for a geometry-optimized Cr2BN structure.

Properties
For the magnetization, the calculation gives 3.697 μB per formula unit. For the total DFT energy (no corrections), the calculation gives -8.427 eV/atom. The uncorrected formation energy comes out at 0.136 eV per atom. The calculation puts the energy relative to the lowest polymorph listed for this composition at 0 meV per atom. As for the density of states at the Fermi level: 0.87 states/eV/atom.

Lattice parameters (Å, degrees): 4.5203 4.5203 8.9708 90.00 90.00 90.00
Space group I-42d (No. 122)
Inequivalent atoms, fractional coordinates:
Cr  0.2233  0.2500  0.1250 [8 per cell]
B  0.0000  0.0000  0.5000 [4 per cell]
N  0.0000  0.0000  0.0000 [4 per cell]

(2)
Density functional theory data (PBE) for a geometry-optimized PmDyHo5Tm2 structure.

Properties
For the magnetization, the calculation gives 0.000 μB per formula unit. For the total DFT energy (no corrections), the calculation gives -4.413 eV/atom. The value obtained for the formation energy is 0.16 eV per atom. As for the density of states at the Fermi level: 1.62 states/eV/atom.

Lattice parameters (Å, degrees): 5.5664 19.7121 10.4968 90.00 90.00 90.00
Space group Cmc2_1 (No. 36)
Inequivalent atoms, fractional coordinates:
Pm  0.0000  0.0843  0.0000 [4 per cell]
Dy  0.0000  0.3005  0.5608 [4 per cell]
Ho  0.0000  0.0218  0.2857 [4 per cell]
Ho  0.0000  0.1113  0.5720 [4 per cell]
Ho  0.0000  0.2012  0.2577 [4 per cell]
Ho  0.0000  0.2187  0.8603 [4 per cell]
Ho  0.0000  0.4823  0.5734 [4 per cell]
Tm  0.0000  0.3865  0.8673 [4 per cell]
Tm  0.0000  0.3896  0.2851 [4 per cell]